Record 1
A geometry-optimized Ba2Ge3SbAu4 structure. Source: Alexandria, functional PBE.

Summary:
Formation energy (no corrections) ... -517 meV per atom
V ... 24.56 Å³/atom

Lattice parameters (Å, degrees): 4.7405 4.7405 10.9293 90.00 90.00 90.00
Last column: nearest neighbours and their distance in Å.
Fractional coordinates of all 10 atoms:
Ba 0.0000 0.5000 0.2408  8 Au 3.54-3.60, 7 Ge 3.60-3.95, 2 Sb 3.69
Ba 0.5000 0.0000 0.7592  8 Au 3.54-3.60, 7 Ge 3.60-3.95, 2 Sb 3.69
Ge 0.0000 0.5000 0.8798  5 Au 2.63-2.71
Ge 0.5000 0.0000 0.1202  5 Au 2.63-2.71
Ge 0.5000 0.5000 0.5000  4 Au 2.82
Sb 0.0000 0.0000 0.5000  4 Au 2.82
Au 0.0000 0.0000 0.0000  4 Ge 2.71
Au 0.0000 0.5000 0.6394  3 Ge 2.63-2.82, 2 Sb 2.82
Au 0.5000 0.0000 0.3606  3 Ge 2.63-2.82, 2 Sb 2.82
Au 0.5000 0.5000 0.0000  4 Ge 2.71

Record 2
A geometry-optimized Ba2Ge3SbAu12 structure. Source: Alexandria, functional PBE.

Summary:
Formation energy (no corrections) ... -72 meV per atom
V ... 28.23 Å³/atom

Lattice parameters (Å, degrees): 8.9916 8.9916 8.9916 59.50 59.50 59.50
Last column: nearest neighbours and their distance in Å.
Fractional coordinates of all 18 atoms:
Ba 0.1157 0.1157 0.1157  6 Au 3.40-3.60
Ba 0.8843 0.8843 0.8843  6 Au 3.40-3.60
Ge 0.0000 0.5000 0.5000  6 Au 2.59-2.71
Ge 0.5000 0.0000 0.5000  6 Au 2.59-2.71
Ge 0.5000 0.5000 0.0000  6 Au 2.59-2.71
Sb 0.5000 0.5000 0.5000  6 Au 2.66
Au 0.1353 0.6161 0.6161  1 Sb 2.66, 1 Ge 2.71, 2 Au 2.80
Au 0.1615 0.1615 0.5138  2 Ge 2.59, 2 Au 2.80
Au 0.1615 0.5138 0.1615  2 Ge 2.59, 2 Au 2.80
Au 0.3839 0.3839 0.8647  1 Sb 2.66, 1 Ge 2.71, 2 Au 2.80
Au 0.3839 0.8647 0.3839  1 Sb 2.66, 1 Ge 2.71, 2 Au 2.80
Au 0.4862 0.8385 0.8385  2 Ge 2.59, 2 Au 2.80
Au 0.5138 0.1615 0.1615  2 Ge 2.59, 2 Au 2.80
Au 0.6161 0.1353 0.6161  1 Sb 2.66, 1 Ge 2.71, 2 Au 2.80
Au 0.6161 0.6161 0.1353  1 Sb 2.66, 1 Ge 2.71, 2 Au 2.80
Au 0.8385 0.4862 0.8385  2 Ge 2.59, 2 Au 2.80
Au 0.8385 0.8385 0.4862  2 Ge 2.59, 2 Au 2.80
Au 0.8647 0.3839 0.3839  1 Sb 2.66, 1 Ge 2.71, 2 Au 2.80

Record 3
A geometry-optimized BaSiGeAu2 structure. Source: Alexandria, functional PBE.

Summary:
Formation energy (no corrections) ... -249 meV per atom
V ... 25.10 Å³/atom

Lattice parameters (Å, degrees): 4.9770 4.9770 5.0669 90.00 90.00 90.00
Last column: nearest neighbours and their distance in Å.
Fractional coordinates of all 5 atoms:
Ba 0.0000 0.0000 0.0000  4 Ge 3.52, 8 Au 3.55
Si 0.5000 0.5000 0.5000  4 Au 2.49, 2 Ge 2.53
Ge 0.5000 0.5000 0.0000  2 Si 2.53
Au 0.0000 0.5000 0.5000  2 Si 2.49
Au 0.5000 0.0000 0.5000  2 Si 2.49

Record 4
A geometry-optimized Ba2SiGeAu6 structure. Source: Alexandria, functional PBE.

Summary:
Formation energy (no corrections) ... -490 meV per atom
V ... 24.93 Å³/atom

Lattice parameters (Å, degrees): 6.8274 6.8806 7.2304 63.07 61.86 60.32
Last column: nearest neighbours and their distance in Å.
Fractional coordinates of all 10 atoms:
Ba 0.2306 0.2051 0.3375  12 Au 3.54-3.71
Ba 0.7694 0.7949 0.6625  12 Au 3.54-3.71
Si 0.0000 0.0000 0.0000  6 Au 2.46-2.48
Ge 0.5000 0.5000 0.5000  6 Au 2.60-2.63
Au 0.2273 0.2647 0.8109  1 Si 2.48, 1 Ge 2.62
Au 0.2424 0.6839 0.8233  1 Si 2.46, 1 Ge 2.60
Au 0.3062 0.7391 0.1859  1 Si 2.48, 1 Ge 2.63
Au 0.6938 0.2609 0.8141  1 Si 2.48, 1 Ge 2.63
Au 0.7576 0.3161 0.1767  1 Si 2.46, 1 Ge 2.60
Au 0.7727 0.7353 0.1891  1 Si 2.48, 1 Ge 2.62

Record 5
A geometry-optimized BaSiGeAu3 structure. Source: Alexandria, functional PBE.

Summary:
Formation energy (no corrections) ... -371 meV per atom
V ... 25.65 Å³/atom

Lattice parameters (Å, degrees): 7.5660 7.5660 6.7311 90.00 90.00 126.99
Last column: nearest neighbours and their distance in Å.
Fractional coordinates of all 12 atoms:
Ba 0.2155 0.7845 0.7500  4 Au 3.38-3.43, 1 Ge 3.67
Ba 0.7845 0.2155 0.2500  4 Au 3.38-3.43, 1 Ge 3.67
Si 0.4135 0.5865 0.2500  5 Au 2.37-2.52
Si 0.5865 0.4135 0.7500  5 Au 2.37-2.52
Ge 0.0554 0.9446 0.2500  5 Au 2.48-2.66
Ge 0.9446 0.0554 0.7500  5 Au 2.48-2.66
Au 0.2385 0.7615 0.2500  1 Si 2.37, 1 Ge 2.48
Au 0.2840 0.2840 0.0000  2 Si 2.52, 2 Ge 2.66
Au 0.2840 0.2840 0.5000  2 Si 2.52, 2 Ge 2.66
Au 0.7160 0.7160 0.0000  2 Si 2.52, 2 Ge 2.66
Au 0.7160 0.7160 0.5000  2 Si 2.52, 2 Ge 2.66
Au 0.7615 0.2385 0.7500  1 Si 2.37, 1 Ge 2.48

Record 6
A geometry-optimized BaSn2Ge2Au6 structure. Source: Alexandria, functional PBE.

Summary:
Energy of formation ... -0.24 eV/atom
V ... 23.52 Å³/atom

Lattice parameters (Å, degrees): 5.3741 6.9915 7.4576 86.58 72.90 75.03
Last column: nearest neighbours and their distance in Å.
Fractional coordinates of all 11 atoms:
Ba 0.0000 0.0000 0.0000  6 Au 3.33-3.64, 2 Ge 3.56, 2 Sn 3.71
Sn 0.4536 0.7955 0.3072  5 Au 2.78-3.08, 1 Ge 2.91
Sn 0.5464 0.2045 0.6928  5 Au 2.78-3.08, 1 Ge 2.91
Ge 0.3561 0.2249 0.3086  3 Au 2.56-2.59
Ge 0.6439 0.7751 0.6914  3 Au 2.56-2.59
Au 0.0181 0.3238 0.6367  1 Ge 2.59, 2 Sn 2.78-2.89, 1 Au 2.88
Au 0.2499 0.6426 0.6721  1 Ge 2.56
Au 0.2628 0.4251 0.0255  1 Ge 2.56, 1 Sn 2.81
Au 0.7372 0.5749 0.9745  1 Ge 2.56, 1 Sn 2.81
Au 0.7501 0.3574 0.3279  1 Ge 2.56
Au 0.9819 0.6762 0.3633  1 Ge 2.59, 2 Sn 2.78-2.89, 1 Au 2.88

Record 7
A geometry-optimized Ba2Sn6GeAu structure. Source: Alexandria, functional PBE.

Summary:
Energy of formation ... -0.25 eV/atom
V ... 32.85 Å³/atom

Lattice parameters (Å, degrees): 18.1581 18.1581 18.1581 20.73 20.73 20.73
Last column: nearest neighbours and their distance in Å.
Fractional coordinates of all 20 atoms:
Ba 0.1008 0.1008 0.1008  9 Sn 3.57-3.62, 3 Ge 3.82
Ba 0.3174 0.3174 0.3174  9 Sn 3.59-3.71, 3 Au 3.87
Ba 0.6826 0.6826 0.6826  9 Sn 3.59-3.71, 3 Au 3.87
Ba 0.8992 0.8992 0.8992  9 Sn 3.57-3.62, 3 Ge 3.82
Sn 0.1104 0.6400 0.6400  1 Au 2.79, 1 Ge 2.96, 2 Sn 3.07
Sn 0.2120 0.2120 0.7083  1 Au 3.02, 1 Ge 3.04, 4 Sn 3.24-3.29
Sn 0.2120 0.7083 0.2120  1 Au 3.02, 1 Ge 3.04, 4 Sn 3.24-3.29
Sn 0.2917 0.7880 0.7880  1 Au 3.02, 1 Ge 3.04, 4 Sn 3.24-3.29
Sn 0.3600 0.3600 0.8896  1 Au 2.79, 1 Ge 2.96, 2 Sn 3.07
Sn 0.3600 0.8896 0.3600  1 Au 2.79, 1 Ge 2.96, 2 Sn 3.07
Sn 0.6400 0.1104 0.6400  1 Au 2.79, 1 Ge 2.96, 2 Sn 3.07
Sn 0.6400 0.6400 0.1104  1 Au 2.79, 1 Ge 2.96, 2 Sn 3.07
Sn 0.7083 0.2120 0.2120  1 Au 3.02, 1 Ge 3.04, 4 Sn 3.24-3.29
Sn 0.7880 0.2917 0.7880  1 Au 3.02, 1 Ge 3.04, 4 Sn 3.24-3.29
Sn 0.7880 0.7880 0.2917  1 Au 3.02, 1 Ge 3.04, 4 Sn 3.24-3.29
Sn 0.8896 0.3600 0.3600  1 Au 2.79, 1 Ge 2.96, 2 Sn 3.07
Ge 0.4224 0.4224 0.4224  6 Sn 2.96-3.04
Ge 0.5776 0.5776 0.5776  6 Sn 2.96-3.04
Au 0.0000 0.0000 0.0000  6 Sn 3.02
Au 0.5000 0.5000 0.5000  6 Sn 2.79

Record 8
A geometry-optimized Ba2Sn4GeAu3 structure. Source: Alexandria, functional PBE.

Summary:
Energy of formation ... -0.54 eV/atom
V ... 27.18 Å³/atom

Lattice parameters (Å, degrees): 4.8627 4.8627 11.4936 90.00 90.00 90.00
Last column: nearest neighbours and their distance in Å.
Fractional coordinates of all 10 atoms:
Ba 0.0000 0.5000 0.2447  8 Sn 3.69-3.81, 2 Ge 3.72, 6 Au 3.72
Ba 0.5000 0.0000 0.7553  8 Sn 3.69-3.81, 2 Ge 3.72, 6 Au 3.72
Sn 0.0000 0.0000 0.5000  4 Au 2.86
Sn 0.0000 0.5000 0.8713  3 Au 2.75-2.85, 2 Ge 2.85
Sn 0.5000 0.0000 0.1287  3 Au 2.75-2.85, 2 Ge 2.85
Sn 0.5000 0.5000 0.5000  4 Au 2.86
Ge 0.5000 0.5000 0.0000  4 Sn 2.85
Au 0.0000 0.0000 0.0000  4 Sn 2.85
Au 0.0000 0.5000 0.6317  5 Sn 2.75-2.86
Au 0.5000 0.0000 0.3683  5 Sn 2.75-2.86

Record 9
A geometry-optimized Ba2SnGe3Au12 structure. Source: Alexandria, functional PBE.

Summary:
Energy of formation ... -0.08 eV/atom
V ... 27.92 Å³/atom

Lattice parameters (Å, degrees): 8.9059 8.9059 8.9059 60.27 60.27 60.27
Last column: nearest neighbours and their distance in Å.
Fractional coordinates of all 18 atoms:
Ba 0.1120 0.1120 0.1120  6 Au 3.38-3.56
Ba 0.8880 0.8880 0.8880  6 Au 3.38-3.56
Sn 0.5000 0.5000 0.5000  6 Au 2.66
Ge 0.0000 0.5000 0.5000  6 Au 2.59-2.73
Ge 0.5000 0.0000 0.5000  6 Au 2.59-2.73
Ge 0.5000 0.5000 0.0000  6 Au 2.59-2.73
Au 0.1352 0.6206 0.6206  1 Sn 2.66, 1 Ge 2.73, 2 Au 2.81
Au 0.1603 0.1603 0.5133  2 Ge 2.59, 2 Au 2.81
Au 0.1603 0.5133 0.1603  2 Ge 2.59, 2 Au 2.81
Au 0.3794 0.3794 0.8648  1 Sn 2.66, 1 Ge 2.73, 2 Au 2.81
Au 0.3794 0.8648 0.3794  1 Sn 2.66, 1 Ge 2.73, 2 Au 2.81
Au 0.4867 0.8397 0.8397  2 Ge 2.59, 2 Au 2.81
Au 0.5133 0.1603 0.1603  2 Ge 2.59, 2 Au 2.81
Au 0.6206 0.1352 0.6206  1 Sn 2.66, 1 Ge 2.73, 2 Au 2.81
Au 0.6206 0.6206 0.1352  1 Sn 2.66, 1 Ge 2.73, 2 Au 2.81
Au 0.8397 0.4867 0.8397  2 Ge 2.59, 2 Au 2.81
Au 0.8397 0.8397 0.4867  2 Ge 2.59, 2 Au 2.81
Au 0.8648 0.3794 0.3794  1 Sn 2.66, 1 Ge 2.73, 2 Au 2.81

Record 10
A geometry-optimized Ba2SnGe3Au4 structure. Source: Alexandria, functional PBE.

Summary:
Energy of formation ... -0.52 eV/atom
V ... 24.45 Å³/atom

Lattice parameters (Å, degrees): 4.7100 4.7100 11.0214 90.00 90.00 90.00
Last column: nearest neighbours and their distance in Å.
Fractional coordinates of all 10 atoms:
Ba 0.0000 0.5000 0.2401  8 Au 3.54-3.59, 6 Ge 3.58-3.71, 2 Sn 3.71
Ba 0.5000 0.0000 0.7599  8 Au 3.54-3.59, 6 Ge 3.58-3.71, 2 Sn 3.71
Sn 0.0000 0.0000 0.5000  4 Au 2.81
Ge 0.0000 0.5000 0.8792  5 Au 2.64-2.71
Ge 0.5000 0.0000 0.1208  5 Au 2.64-2.71
Ge 0.5000 0.5000 0.5000  4 Au 2.81
Au 0.0000 0.0000 0.0000  4 Ge 2.71
Au 0.0000 0.5000 0.6393  3 Ge 2.64-2.81, 2 Sn 2.81
Au 0.5000 0.0000 0.3607  3 Ge 2.64-2.81, 2 Sn 2.81
Au 0.5000 0.5000 0.0000  4 Ge 2.71

Record 11
A geometry-optimized Ba2SnGe2Au6 structure. Source: Alexandria, functional PBE.

Summary:
Energy of formation ... -0.36 eV/atom
V ... 31.95 Å³/atom

Lattice parameters (Å, degrees): 9.1568 9.1568 9.1568 45.16 45.16 45.16
Last column: nearest neighbours and their distance in Å.
Fractional coordinates of all 11 atoms:
Ba 0.2209 0.2209 0.2209  9 Au 3.57
Ba 0.7791 0.7791 0.7791  9 Au 3.57
Sn 0.0000 0.0000 0.0000  6 Au 2.82
Ge 0.4489 0.4489 0.4489  3 Au 2.47, 1 Ge 2.52
Ge 0.5511 0.5511 0.5511  3 Au 2.47, 1 Ge 2.52
Au 0.1787 0.7717 0.7717  1 Ge 2.47
Au 0.2283 0.2283 0.8213  1 Ge 2.47
Au 0.2283 0.8213 0.2283  1 Ge 2.47
Au 0.7717 0.1787 0.7717  1 Ge 2.47
Au 0.7717 0.7717 0.1787  1 Ge 2.47
Au 0.8213 0.2283 0.2283  1 Ge 2.47

Record 12
A geometry-optimized Ba2Sn3GeAu4 structure. Source: Alexandria, functional PBE.

Summary:
Energy of formation ... -0.56 eV/atom
V ... 26.37 Å³/atom

Lattice parameters (Å, degrees): 4.8856 4.8856 11.0484 90.00 90.00 90.00
Last column: nearest neighbours and their distance in Å.
Fractional coordinates of all 10 atoms:
Ba 0.0000 0.5000 0.2477  8 Au 3.67-3.75, 6 Sn 3.70-3.71, 2 Ge 3.71
Ba 0.5000 0.0000 0.7523  8 Au 3.67-3.75, 6 Sn 3.70-3.71, 2 Ge 3.71
Sn 0.0000 0.5000 0.8729  5 Au 2.78-2.82
Sn 0.5000 0.0000 0.1271  5 Au 2.78-2.82
Sn 0.5000 0.5000 0.5000  4 Au 2.78
Ge 0.0000 0.0000 0.5000  4 Au 2.78
Au 0.0000 0.0000 0.0000  4 Sn 2.82
Au 0.0000 0.5000 0.6210  3 Sn 2.78, 2 Ge 2.78
Au 0.5000 0.0000 0.3790  3 Sn 2.78, 2 Ge 2.78
Au 0.5000 0.5000 0.0000  4 Sn 2.82